[1]
Material: TbNdSm2Se5
Method: DFT, GGA-PBE
State: optimized geometry

Summary:
Formation energy (no corrections): -1.214 eV/atom

POSCAR file:
```
TbNdSm2Se5
1.0
5.168 0.000 0.000
0.000 5.168 0.000
0.000 0.000 11.023
Tb Nd Sm Se
1 1 2 5
Direct
0.000 0.000 0.000
0.000 0.000 0.500
0.500 0.500 0.161
0.500 0.500 0.839
0.000 0.000 0.250
0.000 0.000 0.750
0.000 0.500 0.000
0.500 0.000 0.000
0.500 0.500 0.500
```

[2]
Material: NaLa3Os
Method: DFT, GGA-PBE
State: optimized geometry

Summary:
Energy relative to the lowest polymorph listed for this composition: 105 meV per atom
ΔH_f (0 K): 0.0145 eV per atom

POSCAR file:
```
NaLa3Os
1.0
3.883 2.242 6.803
-3.883 2.242 6.803
0.000 -4.483 6.803
Na La Os
2 6 2
Direct
0.082 0.082 0.082
0.918 0.918 0.918
0.084 0.623 0.553
0.377 0.447 0.916
0.447 0.916 0.377
0.553 0.084 0.623
0.623 0.553 0.084
0.916 0.377 0.447
0.331 0.331 0.331
0.669 0.669 0.669
```

no.,total DFT energy (no corrections) (eV/atom),V (Å³/cell)
1,-5.242,294.4
2,-5.452,355.3